# 1
Compound: Dy4TlTe2
Source: Alexandria
Functional: PBE
Structure: optimized geometry

The calculation puts the total DFT energy (no corrections) at -258.99 eV for the cell shown. The calculation puts the uncorrected formation energy at -73 kJ/mol of atoms.

a = 9.401 Å, b = 13.573 Å, c = 13.596 Å
α = 90.00°, β = 90.00°, γ = 90.00°
Space group Fddd (No. 70, origin choice 2)
Asymmetric unit:
Dy  0.068  0.280  0.470 [32 per cell]
Tl  0.125  0.125  0.625 [8 per cell]
Te  0.000  0.000  0.000 [16 per cell]

# 2
Compound: DyTlTe2
Source: Alexandria
Functional: PBE
Structure: optimized geometry

The calculation puts the total DFT energy (no corrections) at -52.22 eV for the cell shown. The calculation puts the uncorrected formation energy at -100 kJ/mol of atoms.

a = 4.4279 Å, b = 4.4279 Å, c = 25.0446 Å
α = 90.00°, β = 90.00°, γ = 120.00°
Space group R3m (No. 160, hexagonal axes)
Asymmetric unit:
Dy  0.0000  0.0000  0.0000 [3 per cell]
Tl  0.0000  0.0000  0.8316 [3 per cell]
Te  0.0000  0.0000  0.4033 [3 per cell]
Te  0.0000  0.0000  0.5961 [3 per cell]

# 3
Compound: Dy5TlTe4
Source: Alexandria
Functional: PBE
Structure: optimized geometry

The calculation puts the total DFT energy (no corrections) at -98.54 eV for the cell shown. The value obtained for the distance to the lowest polymorph of the same formula is 0.000 eV per atom. The calculation puts the uncorrected formation energy at -109 kJ/mol of atoms.

a = 9.790 Å, b = 9.790 Å, c = 6.170 Å
α = 90.00°, β = 90.00°, γ = 90.00°
Space group I4/m (No. 87)
Asymmetric unit:
Dy  0.000  0.000  0.000 [2 per cell]
Dy  0.099  0.292  0.500 [8 per cell]
Tl  0.000  0.000  0.500 [2 per cell]
Te  0.096  0.302  0.000 [8 per cell]

# 4
Compound: DyTlTe2
Source: Alexandria
Functional: PBE
Structure: optimized geometry

The calculation puts the total DFT energy (no corrections) at -16.68 eV for the cell shown. The calculation puts the uncorrected formation energy at -83 kJ/mol of atoms.

a = 3.868 Å, b = 3.868 Å, c = 8.353 Å
α = 90.00°, β = 90.00°, γ = 90.00°
Space group P4/mmm (No. 123)
Asymmetric unit:
Dy  0.000  0.000  0.000 [1 per cell]
Tl  0.000  0.000  0.500 [1 per cell]
Te  0.500  0.500  0.212 [2 per cell]